VASP calculation (PBE+U) on an optimized crystal structure of MnMoN2F.

## Properties
Crystal system: tetragonal
DOS at the Fermi energy: 1.01 states/eV/cell
Magnetization: 6.0 Bohr magnetons per cell
Total DFT energy (no corrections): -6.67 eV per atom
Polymorph energy (0 for the lowest one): 0.000 eV per atom

Cell: 4.0288 4.0288 4.0877 Å, 90.00 90.00 90.00°
Last column: nearest neighbours and their distance in Å.
Fractional positions:
Mn 0.0000 0.0000 0.0000  4 F 2.85, 8 N 2.87
Mo 0.5000 0.5000 0.5000  4 N 2.01, 2 F 2.04
N 0.0000 0.5000 0.5000  2 Mo 2.01
N 0.5000 0.0000 0.5000  2 Mo 2.01
F 0.5000 0.5000 0.0000  2 Mo 2.04